DFT (PBE) results for crystalline Ba2SrCd at its relaxed geometry.

POSCAR file:
```
Ba2SrCd
1.0
4.2421 0.0000 0.0000
0.0000 4.2421 0.0000
0.0000 0.0000 10.8325
Ba Sr Cd
2 1 1
direct
0.5000 0.5000 0.3160 Ba
0.0000 0.0000 0.9882 Ba
0.5000 0.5000 0.6835 Sr
0.0000 0.0000 0.5122 Cd
```

## Properties
The value obtained for the magnetization is 0.000 μB/atom. The total DFT energy (no corrections) comes out at -1.765 eV per atom. The value obtained for the energy relative to the elements is -0.1545 eV/atom. The space group is No. 99.

---

DFT (PBE) results for crystalline AgPd2Br8 at its relaxed geometry.

POSCAR file:
```
AgPd2Br8
1.0
8.4076 0.0000 0.0000
-4.2038 5.3970 -2.3443
0.0000 -2.0919 10.3504
Br Pd Ag
8 2 1
direct
0.6497 0.2994 0.4614 Br
0.8548 0.7096 0.3219 Br
0.7398 0.8934 0.8018 Br
0.3503 0.7006 0.5386 Br
0.2602 0.1066 0.1982 Br
0.8464 0.1066 0.1982 Br
0.1536 0.8934 0.8018 Br
0.1452 0.2904 0.6781 Br
0.8978 0.7955 0.5809 Pd
0.1022 0.2045 0.4191 Pd
0.0000 0.0000 0.0000 Ag
```

## Properties
The value obtained for the magnetization is 0.000 μB/atom. The total DFT energy (no corrections) comes out at -2.558 eV per atom. Its uncorrected formation energy is -13 kJ/mol of atoms. The space group is No. 12.

---

DFT (PBE) results for crystalline BaPOs3 at its relaxed geometry.

POSCAR file:
```
BaPOs3
1.0
-4.1064 0.1781 2.9608
2.9533 -0.2237 4.1095
0.2752 5.0575 0.0775
Os P Ba
3 1 1
direct
0.0000 0.0000 0.5000 Os
0.5000 0.0000 0.0000 Os
0.0000 0.5000 0.0000 Os
0.5000 0.5000 0.5000 P
0.0000 0.0000 0.0000 Ba
```

## Properties
The value obtained for the magnetization is 0.829 μB/atom. The total DFT energy (no corrections) comes out at -4.165 eV per atom. The value obtained for the energy relative to the elements is 4.0399 eV/atom. The space group is No. 221.

---

DFT (PBE) results for crystalline Y5Ru3 at its relaxed geometry.

POSCAR file:
```
Y5Ru3
1.0
8.2320 0.0007 0.0000
4.1155 7.1294 0.0000
0.0000 0.0000 6.3890
Ru Y
6 10
direct
0.6072 0.0000 0.2500 Ru
0.0000 0.3928 0.2500 Ru
0.0000 0.6072 0.7500 Ru
0.3928 0.6072 0.2500 Ru
0.3928 0.0000 0.7500 Ru
0.6072 0.3928 0.7500 Ru
0.6667 0.6667 0.5000 Y
0.0000 0.2599 0.7500 Y
0.2599 0.7401 0.7500 Y
0.3333 0.3333 0.0000 Y
0.3333 0.3333 0.5000 Y
0.6667 0.6667 0.0000 Y
0.7401 0.0000 0.7500 Y
0.2599 0.0000 0.2500 Y
0.0000 0.7401 0.2500 Y
0.7401 0.2599 0.2500 Y
```

## Properties
The value obtained for the magnetization is 0.000 μB/atom. The total DFT energy (no corrections) comes out at -7.828 eV per atom. The value obtained for the energy relative to the elements is -0.3094 eV/atom. The space group is No. 193.

---

DFT (PBE) results for crystalline Na4Hf3NiSe8 at its relaxed geometry.

POSCAR file:
```
Na4Hf3NiSe8
1.0
7.6904 0.0000 0.0000
0.0000 8.3039 0.4154
-3.8452 -3.8438 5.4462
Na Se Hf Ni
4 8 3 1
direct
0.5000 0.0000 0.0000 Na
0.0000 0.0000 0.5000 Na
0.0000 0.0000 0.0000 Na
0.5000 0.0000 0.5000 Na
0.7655 0.2868 0.0213 Se
0.2558 0.2868 0.0213 Se
0.7442 0.7132 0.9787 Se
0.2589 0.2767 0.5178 Se
0.2351 0.7137 0.4703 Se
0.7411 0.7233 0.4822 Se
0.2345 0.7132 0.9787 Se
0.7649 0.2863 0.5297 Se
0.5000 0.5000 0.5000 Hf
0.0000 0.5000 0.5000 Hf
0.5000 0.5000 0.0000 Hf
0.0000 0.5000 0.0000 Ni
```

## Properties
The value obtained for the magnetization is 0.084 μB/atom. The total DFT energy (no corrections) comes out at -5.411 eV per atom. Its uncorrected formation energy is -107 kJ/mol of atoms. The space group is No. 166.

---

DFT (PBE) results for crystalline BaVS2 at its relaxed geometry.

POSCAR file:
```
BaVS2
1.0
-0.2035 -1.3421 4.8328
-4.4158 -0.1362 2.3833
-2.0169 -4.4098 1.2975
S V Ba
2 1 1
direct
0.2500 0.2500 0.2500 S
0.7500 0.7500 0.7500 S
0.0000 0.0000 0.0000 V
0.5000 0.5000 0.5000 Ba
```

## Properties
The value obtained for the magnetization is 0.750 μB/atom. The total DFT energy (no corrections) comes out at -5.515 eV per atom. Its uncorrected formation energy is -67 kJ/mol of atoms. The space group is No. 225.

---

DFT (PBE) results for crystalline Ag4SeS2 at its relaxed geometry.

POSCAR file:
```
Ag4SeS2
1.0
3.6863 0.0000 0.0000
0.0000 6.9649 -0.0800
-1.8431 -3.4688 5.8051
Ag Se S
4 1 2
direct
0.3296 0.7784 0.6592 Ag
0.6704 0.2216 0.3408 Ag
0.0929 0.7495 0.1858 Ag
0.9071 0.2505 0.8142 Ag
0.0000 0.0000 0.0000 Se
0.6733 0.6231 0.3465 S
0.3267 0.3769 0.6535 S
```

## Properties
The value obtained for the magnetization is 0.000 μB/atom. The total DFT energy (no corrections) comes out at -3.231 eV per atom. Its uncorrected formation energy is 7 kJ/mol of atoms. The space group is No. 12.

---

DFT (PBE) results for crystalline SbOs2Au at its relaxed geometry.

POSCAR file:
```
SbOs2Au
1.0
-2.5879 3.2163 -2.0961
-4.0063 2.2847 0.4061
1.5767 4.2892 2.4906
Au Sb Os
1 1 2
direct
0.2500 0.2500 0.2500 Au
0.7500 0.7500 0.7500 Sb
0.4959 0.4959 0.5071 Os
0.0041 0.0041 0.9929 Os
```

## Properties
The value obtained for the magnetization is 0.000 μB/atom. The total DFT energy (no corrections) comes out at -6.784 eV per atom. Its uncorrected formation energy is 66 kJ/mol of atoms. The space group is No. 12.